Record 1
{
  "formula": "Mg2Ag7Hg2",
  "functional": "PBE-GGA",
  "state": "relaxed",
  "lattice_angstrom": [[5.132, -4.350, 0.000], [5.132, 4.350, 0.000], [-1.311, 0.000, 4.997]],
  "species": ["Mg", "Mg", "Ag", "Ag", "Ag", "Ag", "Ag", "Ag", "Ag", "Hg", "Hg"],
  "frac_coords": [[0.199, 0.801, 0.000], [0.801, 0.199, 0.000], [0.000, 0.000, 0.500], [0.056, 0.402, 0.744], [0.402, 0.056, 0.744], [0.468, 0.468, 0.734], [0.532, 0.532, 0.266], [0.598, 0.944, 0.256], [0.944, 0.598, 0.256], [0.237, 0.237, 0.246], [0.763, 0.763, 0.754]],
  "delta_e_f_mev_per_atom": 35.6
}


Record 2
{
  "formula": "Y2TiTl3Se6",
  "functional": "PBE-GGA",
  "state": "relaxed",
  "lattice_angstrom": [[3.523, -6.092, 0.000], [3.523, 6.092, 0.000], [-2.364, 0.000, 7.770]],
  "species": ["Y", "Y", "Ti", "Tl", "Tl", "Tl", "Se", "Se", "Se", "Se", "Se", "Se"],
  "frac_coords": [[0.165, 0.835, 0.000], [0.835, 0.165, 0.000], [0.500, 0.500, 0.000], [0.000, 0.000, 0.500], [0.327, 0.673, 0.500], [0.673, 0.327, 0.500], [0.123, 0.435, 0.803], [0.255, 0.255, 0.205], [0.435, 0.123, 0.803], [0.565, 0.877, 0.197], [0.745, 0.745, 0.795], [0.877, 0.565, 0.197]],
  "raw_formation_energy_ev_per_atom": -1.177
}


Record 3
{
  "formula": "LaTb3Pr4Te8",
  "functional": "PBE-GGA",
  "state": "relaxed",
  "lattice_angstrom": [[4.456, 2.573, 7.400], [-4.456, 2.573, 7.400], [0.000, -5.146, 7.400]],
  "species": ["La", "Tb", "Tb", "Tb", "Pr", "Pr", "Pr", "Pr", "Te", "Te", "Te", "Te", "Te", "Te", "Te", "Te"],
  "frac_coords": [[0.000, 0.000, 0.000], [0.000, 0.500, 0.500], [0.500, 0.000, 0.500], [0.500, 0.500, 0.000], [0.000, 0.000, 0.500], [0.000, 0.500, 0.000], [0.500, 0.000, 0.000], [0.500, 0.500, 0.500], [0.251, 0.251, 0.740], [0.251, 0.740, 0.251], [0.255, 0.255, 0.255], [0.260, 0.749, 0.749], [0.740, 0.251, 0.251], [0.745, 0.745, 0.745], [0.749, 0.260, 0.749], [0.749, 0.749, 0.260]],
  "raw_formation_energy_ev_per_atom": -1.407
}


Record 4
{
  "formula": "SrMgNpO6",
  "functional": "PBE-GGA",
  "state": "relaxed",
  "lattice_angstrom": [[5.456, 0.000, 0.000], [-2.728, 4.725, 0.000], [0.000, 0.000, 10.687]],
  "species": ["Sr", "Sr", "Mg", "Mg", "Np", "Np", "O", "O", "O", "O", "O", "O", "O", "O", "O", "O", "O", "O"],
  "frac_coords": [[0.000, 0.000, 0.000], [0.000, 0.000, 0.500], [0.333, 0.667, 0.250], [0.667, 0.333, 0.750], [0.333, 0.667, 0.750], [0.667, 0.333, 0.250], [0.014, 0.375, 0.647], [0.014, 0.639, 0.853], [0.361, 0.375, 0.853], [0.361, 0.986, 0.647], [0.375, 0.014, 0.147], [0.375, 0.361, 0.353], [0.625, 0.639, 0.647], [0.625, 0.986, 0.853], [0.639, 0.014, 0.353], [0.639, 0.625, 0.147], [0.986, 0.361, 0.147], [0.986, 0.625, 0.353]],
  "raw_formation_energy_ev_per_atom": -2.497
}


Record 5
{
  "formula": "GaCu",
  "functional": "PBE-GGA",
  "state": "relaxed",
  "lattice_angstrom": [[6.806, 0.000, 0.000], [0.000, 6.806, 0.000], [0.000, 0.000, 6.806]],
  "species": ["Ga", "Ga", "Ga", "Ga", "Ga", "Ga", "Cu", "Cu", "Cu", "Cu", "Cu", "Cu"],
  "frac_coords": [[0.000, 0.250, 0.500], [0.000, 0.750, 0.500], [0.250, 0.500, 0.000], [0.500, 0.000, 0.250], [0.500, 0.000, 0.750], [0.750, 0.500, 0.000], [0.000, 0.500, 0.250], [0.000, 0.500, 0.750], [0.250, 0.000, 0.500], [0.500, 0.250, 0.000], [0.500, 0.750, 0.000], [0.750, 0.000, 0.500]],
  "delta_e_f_mev_per_atom": 518.5
}


Record 6
{
  "formula": "PrHo2Zr",
  "functional": "PBE-GGA",
  "state": "relaxed",
  "lattice_angstrom": [[1.739, 1.004, 11.363], [-1.739, 1.004, 11.363], [0.000, -2.008, 11.363]],
  "species": ["Pr", "Ho", "Ho", "Zr"],
  "frac_coords": [[0.000, 0.000, 0.000], [0.244, 0.244, 0.244], [0.424, 0.424, 0.424], [0.834, 0.834, 0.834]],
  "delta_e_f_mev_per_atom": 84.3
}


Record 7
{
  "formula": "RbAg2PS4",
  "functional": "PBE-GGA",
  "state": "relaxed",
  "lattice_angstrom": [[-3.251, 3.642, 4.244], [3.251, -3.642, 4.244], [3.251, 3.642, -4.244]],
  "species": ["Rb", "Ag", "Ag", "P", "S", "S", "S", "S"],
  "frac_coords": [[0.000, 0.000, 0.000], [0.316, 0.816, 0.500], [0.684, 0.184, 0.500], [0.500, 0.500, 0.000], [0.190, 0.182, 0.651], [0.469, 0.818, 0.008], [0.531, 0.539, 0.349], [0.810, 0.461, 0.992]],
  "raw_formation_energy_ev_per_atom": -0.469
}


Record 8
{
  "formula": "Rb2ScTe",
  "functional": "PBE-GGA",
  "state": "relaxed",
  "lattice_angstrom": [[-6.729, 6.729, 2.783], [6.729, -6.729, 2.783], [6.729, 6.729, -2.783]],
  "species": ["Rb", "Rb", "Rb", "Rb", "Sc", "Sc", "Te", "Te"],
  "frac_coords": [[0.375, 0.225, 0.350], [0.775, 0.125, 0.150], [0.875, 0.025, 0.650], [0.975, 0.625, 0.850], [0.250, 0.750, 0.500], [0.500, 0.500, 0.000], [0.000, 0.000, 0.000], [0.750, 0.250, 0.500]],
  "raw_formation_energy_ev_per_atom": -0.161
}


Record 9
{
  "formula": "Re3AgI",
  "functional": "PBE-GGA",
  "state": "relaxed",
  "lattice_angstrom": [[4.818, 0.000, 0.000], [0.000, 4.818, 0.000], [0.000, 0.000, 4.818]],
  "species": ["Re", "Re", "Re", "Ag", "I"],
  "frac_coords": [[0.000, 0.000, 0.500], [0.000, 0.500, 0.000], [0.500, 0.000, 0.000], [0.500, 0.500, 0.500], [0.000, 0.000, 0.000]],
  "raw_formation_energy_ev_per_atom": 2.860
}


Record 10
{
  "formula": "MoSe2SN",
  "functional": "PBE-GGA",
  "state": "relaxed",
  "lattice_angstrom": [[5.021, 0.000, 0.000], [0.000, 5.021, 0.000], [0.000, 0.000, 3.794]],
  "species": ["Mo", "Se", "Se", "S", "N"],
  "frac_coords": [[0.000, 0.000, 0.000], [0.000, 0.500, 0.000], [0.500, 0.000, 0.000], [0.500, 0.500, 0.500], [0.000, 0.000, 0.500]],
  "raw_formation_energy_ev_per_atom": 0.512
}


Record 11
{
  "formula": "Er2Si3Pd",
  "functional": "PBE-GGA",
  "state": "relaxed",
  "lattice_angstrom": [[8.137, 0.000, 0.000], [-4.068, 7.047, 0.000], [0.000, 0.000, 3.991]],
  "species": ["Er", "Er", "Er", "Er", "Si", "Si", "Si", "Si", "Si", "Si", "Pd", "Pd"],
  "frac_coords": [[0.000, 0.000, 0.000], [0.000, 0.500, 0.000], [0.500, 0.000, 0.000], [0.500, 0.500, 0.000], [0.165, 0.331, 0.500], [0.165, 0.835, 0.500], [0.331, 0.165, 0.500], [0.669, 0.835, 0.500], [0.835, 0.165, 0.500], [0.835, 0.669, 0.500], [0.333, 0.667, 0.500], [0.667, 0.333, 0.500]],
  "raw_formation_energy_ev_per_atom": -0.880
}


Record 12
{
  "formula": "KTlAg2Br8",
  "functional": "PBE-GGA",
  "state": "relaxed",
  "lattice_angstrom": [[-3.774, 3.774, 7.210], [3.774, -3.774, 7.210], [3.774, 3.774, -7.210]],
  "species": ["K", "Tl", "Ag", "Ag", "Br", "Br", "Br", "Br", "Br", "Br", "Br", "Br"],
  "frac_coords": [[0.000, 0.000, 0.000], [0.250, 0.750, 0.500], [0.500, 0.500, 0.000], [0.750, 0.250, 0.500], [0.039, 0.408, 0.990], [0.191, 0.435, 0.601], [0.410, 0.809, 0.244], [0.418, 0.049, 0.010], [0.565, 0.166, 0.756], [0.592, 0.582, 0.630], [0.834, 0.590, 0.399], [0.951, 0.961, 0.370]],
  "raw_formation_energy_ev_per_atom": -0.452
}


How do the records compare in E_tot? In the order shown, they have -2.124; -5.246; -5.348; -7.605; -3.043; -5.537; -4.043; -3.013; -5.490; -5.538; -5.978; -2.331 eV/atom.